[1]
# NaHCN2

NaHCN2 at its PBEsol-relaxed geometry (meta-GGA SCAN, the Alexandria database).

Geometry as CIF:
```
data_NaHCN2
_space_group_name_H-M_alt 'P b c m'
_space_group_IT_number 57
_cell_length_a 3.4339
_cell_length_b 10.3845
_cell_length_c 6.4507
_cell_angle_alpha 90.00
_cell_angle_beta 90.00
_cell_angle_gamma 90.00
loop_
_space_group_symop_operation_xyz
'x,y,z'
'-x,-y,-z'
'-x,-y,z+1/2'
'x,y,-z+1/2'
'x,-y+1/2,-z'
'-x,y+1/2,z'
'-x,y+1/2,-z+1/2'
'x,-y+1/2,z+1/2'
loop_
_atom_site_label
_atom_site_fract_x
_atom_site_fract_y
_atom_site_fract_z
Na1 0.2359 0.2500 0.0000
H1 0.1830 0.5897 0.2500
C1 0.1911 0.5488 0.7500
N1 0.1117 0.0710 0.2500
N2 0.2932 0.6595 0.7500
```

Computed properties:
Raw total energy, eV/atom: -7.64
Crystal system: orthorhombic

***

[2]
# Na2NiH20C12N12O18

Na2NiH20C12N12O18 at its PBEsol-relaxed geometry (meta-GGA SCAN, the Alexandria database).

Geometry as CIF:
```
data_Na2NiH20C12N12O18
_space_group_name_H-M_alt 'P -1'
_space_group_IT_number 2
_cell_length_a 6.7475
_cell_length_b 10.2425
_cell_length_c 10.2602
_cell_angle_alpha 62.07
_cell_angle_beta 71.58
_cell_angle_gamma 83.11
loop_
_space_group_symop_operation_xyz
'x,y,z'
'-x,-y,-z'
loop_
_atom_site_label
_atom_site_fract_x
_atom_site_fract_y
_atom_site_fract_z
Na1 0.2367 0.0968 0.4675
Ni1 0.0000 0.5000 0.0000
H1 0.0637 0.7941 0.6989
H2 0.0658 0.1036 0.2282
H3 0.1254 0.8739 0.1346
H4 0.2343 0.4901 0.5029
H5 0.3022 0.9328 0.8865
H6 0.3059 0.3890 0.1023
H7 0.3122 0.3450 0.9616
H8 0.3335 0.7065 0.4744
H9 0.4295 0.4164 0.2569
H10 0.4384 0.6808 0.8204
C1 0.0553 0.3008 0.6704
C2 0.1055 0.6994 0.0826
C3 0.1059 0.5077 0.7106
C4 0.3191 0.1100 0.9365
C5 0.4725 0.6858 0.2681
C6 0.4849 0.1059 0.6930
N1 0.0094 0.5662 0.1389
N2 0.0660 0.7646 0.1786
N3 0.1353 0.4390 0.6189
N4 0.3627 0.0415 0.8433
N5 0.4012 0.2470 0.8785
N6 0.4303 0.7577 0.3579
O1 0.0035 0.1095 0.3264
O2 0.0898 0.2401 0.5865
O3 0.1868 0.6334 0.6558
O4 0.2019 0.0433 0.0733
O5 0.2234 0.7637 0.9471
O6 0.2580 0.4195 0.0069
O7 0.3927 0.5579 0.3260
O8 0.4178 0.3337 0.2343
O9 0.4853 0.9541 0.3914
```

Computed properties:
Raw total energy, eV/atom: -7.61
Crystal system: triclinic